Entry 1:
Material: NbVN2O
Method: DFT, PBE+U
State: relaxed

Unit cell a=3.822 b=3.822 c=3.657 alpha=90.00 beta=90.00 gamma=90.00
Space group P4/mmm (No. 123)
Symmetry-distinct sites (fractional):
Nb 0.000 0.000 0.000 (multiplicity 1)
V 0.500 0.500 0.500 (multiplicity 1)
N 0.000 0.500 0.500 (multiplicity 2)
O 0.500 0.500 0.000 (multiplicity 1)

Computed properties:
As for the total energy: -7.922 eV/atom. The density of states at the Fermi level is 2.7 states/eV/cell. The total magnetic moment comes out at 1.530 μB per formula unit.


Entry 2:
Material: NbVNO
Method: DFT, PBE+U
State: relaxed

Unit cell a=2.988 b=2.927 c=10.556 alpha=90.00 beta=90.00 gamma=90.00
Space group Amm2 (No. 38)
Symmetry-distinct sites (fractional):
Nb 0.000 0.000 0.000 (multiplicity 2)
V 0.500 0.000 0.769 (multiplicity 2)
N 0.500 0.000 0.413 (multiplicity 2)
O 0.000 0.000 0.646 (multiplicity 2)

Computed properties:
The density of states at the Fermi level is 3.4 states/eV/cell. The total magnetic moment comes out at 1.535 μB per formula unit. The value obtained for the distance to the lowest polymorph of the same formula is 67.3 kJ/mol of formula units.


Entry 3:
Material: NbVNO
Method: DFT, PBE+U
State: relaxed

Unit cell a=2.890 b=2.916 c=10.016 alpha=90.00 beta=90.00 gamma=90.00
Space group Imm2 (No. 44)
Symmetry-distinct sites (fractional):
Nb 0.000 0.000 0.000 (multiplicity 2)
V 0.000 0.500 0.247 (multiplicity 2)
N 0.000 0.000 0.583 (multiplicity 2)
O 0.000 0.500 0.825 (multiplicity 2)

Computed properties:
The density of states at the Fermi level is 2.4 states/eV/cell. The total magnetic moment comes out at 1.006 μB per formula unit. The value obtained for the distance to the lowest polymorph of the same formula is 69.4 kJ/mol of formula units.


Entry 4:
Material: NbVNO2
Method: DFT, PBE+U
State: relaxed

Unit cell a=3.752 b=3.752 c=3.909 alpha=90.00 beta=90.00 gamma=90.00
Space group P4/mmm (No. 123)
Symmetry-distinct sites (fractional):
Nb 0.000 0.000 0.000 (multiplicity 1)
V 0.500 0.500 0.500 (multiplicity 1)
N 0.500 0.500 0.000 (multiplicity 1)
O 0.000 0.500 0.500 (multiplicity 2)

Computed properties:
As for the total energy: -7.802 eV/atom. The density of states at the Fermi level is 2.8 states/eV/cell. The total magnetic moment comes out at 2.797 μB per formula unit.


Entry 5:
Material: NbVNO
Method: DFT, PBE+U
State: relaxed

Unit cell a=6.097 b=2.824 c=5.264 alpha=90.00 beta=97.75 gamma=90.00
Space group Cm (No. 8)
Symmetry-distinct sites (fractional):
Nb 0.000 0.000 0.000 (multiplicity 2)
V 0.293 0.500 0.428 (multiplicity 2)
N 0.488 0.000 0.303 (multiplicity 2)
O 0.303 0.000 0.730 (multiplicity 2)

Computed properties:
The density of states at the Fermi level is 2.5 states/eV/cell. The total magnetic moment comes out at 0.000 μB per formula unit. The value obtained for the distance to the lowest polymorph of the same formula is 123.7 kJ/mol of formula units.


Entry 6:
Material: NbVNO
Method: DFT, PBE+U
State: relaxed

Unit cell a=3.0283 b=3.0283 c=16.6221 alpha=90.00 beta=90.00 gamma=120.00
Space group R3m (No. 160, hexagonal axes)
Symmetry-distinct sites (fractional):
Nb 0.0000 0.0000 0.0000 (multiplicity 3)
V 0.0000 0.0000 0.1756 (multiplicity 3)
N 0.0000 0.0000 0.5876 (multiplicity 3)
O 0.0000 0.0000 0.7530 (multiplicity 3)

Computed properties:
The density of states at the Fermi level is 0.4 states/eV/cell. The total magnetic moment comes out at 2.989 μB per formula unit. The value obtained for the distance to the lowest polymorph of the same formula is 0.0 kJ/mol of formula units.


Entry 7:
Material: NbVNO
Method: DFT, PBE+U
State: relaxed

Unit cell a=2.890 b=3.969 c=4.042 alpha=90.00 beta=110.48 gamma=90.00
Space group Pm (No. 6)
Symmetry-distinct sites (fractional):
Nb 0.000 0.000 0.000 (multiplicity 1)
V 0.297 0.500 0.529 (multiplicity 1)
N 0.589 0.500 0.104 (multiplicity 1)
O 0.287 0.000 0.570 (multiplicity 1)

Computed properties:
The density of states at the Fermi level is 1.2 states/eV/cell. The total magnetic moment comes out at 1.844 μB per formula unit. The value obtained for the distance to the lowest polymorph of the same formula is 132.0 kJ/mol of formula units.


Entry 8:
Material: NbVNO
Method: DFT, PBE+U
State: relaxed

Unit cell a=3.118 b=3.118 c=4.455 alpha=90.00 beta=90.00 gamma=90.00
Space group P4mm (No. 99)
Symmetry-distinct sites (fractional):
Nb 0.000 0.000 0.000 (multiplicity 1)
V 0.500 0.500 0.538 (multiplicity 1)
N 0.500 0.500 0.039 (multiplicity 1)
O 0.000 0.000 0.504 (multiplicity 1)

Computed properties:
The density of states at the Fermi level is 1.3 states/eV/cell. The total magnetic moment comes out at 1.518 μB per formula unit. The value obtained for the distance to the lowest polymorph of the same formula is 32.5 kJ/mol of formula units.


Entry 9:
Material: NbVNO2
Method: DFT, PBE+U
State: relaxed

Unit cell a=3.950 b=3.950 c=4.142 alpha=90.00 beta=90.00 gamma=90.00
Space group P4/mmm (No. 123)
Symmetry-distinct sites (fractional):
Nb 0.000 0.000 0.000 (multiplicity 1)
V 0.500 0.500 0.500 (multiplicity 1)
N 0.000 0.000 0.500 (multiplicity 1)
O 0.000 0.500 0.000 (multiplicity 2)

Computed properties:
As for the total energy: -7.903 eV/atom. The density of states at the Fermi level is 4.0 states/eV/cell. The total magnetic moment comes out at 0.908 μB per formula unit.


Entry 10:
Material: NbVNO
Method: DFT, PBE+U
State: relaxed

Unit cell a=2.856 b=3.031 c=10.945 alpha=90.00 beta=90.00 gamma=90.00
Space group Amm2 (No. 38)
Symmetry-distinct sites (fractional):
Nb 0.000 0.000 0.000 (multiplicity 2)
V 0.000 0.000 0.281 (multiplicity 2)
N 0.500 0.000 0.425 (multiplicity 2)
O 0.500 0.000 0.148 (multiplicity 2)

Computed properties:
The density of states at the Fermi level is 4.2 states/eV/cell. The total magnetic moment comes out at 2.066 μB per formula unit. The value obtained for the distance to the lowest polymorph of the same formula is 86.3 kJ/mol of formula units.


Entry 11:
Material: NbVNO
Method: DFT, PBE+U
State: relaxed

Unit cell a=3.1579 b=3.1579 c=5.4518 alpha=90.00 beta=90.00 gamma=120.00
Space group P3m1 (No. 156)
Symmetry-distinct sites (fractional):
Nb 0.0000 0.0000 0.0000 (multiplicity 1)
V 0.6667 0.3333 0.4014 (multiplicity 1)
N 0.3333 0.6667 0.2468 (multiplicity 1)
O 0.6667 0.3333 0.7750 (multiplicity 1)

Computed properties:
The density of states at the Fermi level is 1.6 states/eV/cell. The total magnetic moment comes out at 1.429 μB per formula unit. The value obtained for the distance to the lowest polymorph of the same formula is 51.6 kJ/mol of formula units.


Entry 12:
Material: NbVN2O
Method: DFT, PBE+U
State: relaxed

Unit cell a=4.103 b=4.103 c=3.861 alpha=90.00 beta=90.00 gamma=90.00
Space group P4/mmm (No. 123)
Symmetry-distinct sites (fractional):
Nb 0.000 0.000 0.000 (multiplicity 1)
V 0.500 0.500 0.500 (multiplicity 1)
N 0.000 0.500 0.000 (multiplicity 2)
O 0.000 0.000 0.500 (multiplicity 1)

Computed properties:
As for the total energy: -7.864 eV/atom. The density of states at the Fermi level is 1.8 states/eV/cell. The total magnetic moment comes out at 0.118 μB per formula unit.


Entry 13:
Material: NbVNO
Method: DFT, PBE+U
State: relaxed

Unit cell a=3.0246 b=3.0246 c=17.7432 alpha=90.00 beta=90.00 gamma=120.00
Space group R3m (No. 160, hexagonal axes)
Symmetry-distinct sites (fractional):
Nb 0.0000 0.0000 0.0000 (multiplicity 3)
V 0.0000 0.0000 0.4785 (multiplicity 3)
N 0.0000 0.0000 0.7442 (multiplicity 3)
O 0.0000 0.0000 0.5936 (multiplicity 3)

Computed properties:
The density of states at the Fermi level is 1.7 states/eV/cell. The total magnetic moment comes out at 3.006 μB per formula unit. The value obtained for the distance to the lowest polymorph of the same formula is 12.5 kJ/mol of formula units.


Entry 14:
Material: NbVNO
Method: DFT, PBE+U
State: relaxed

Unit cell a=2.947 b=3.024 c=5.348 alpha=90.00 beta=90.00 gamma=90.00
Space group Pmm2 (No. 25)
Symmetry-distinct sites (fractional):
Nb 0.000 0.000 0.000 (multiplicity 1)
V 0.500 0.500 0.530 (multiplicity 1)
N 0.500 0.500 0.886 (multiplicity 1)
O 0.500 0.000 0.296 (multiplicity 1)

Computed properties:
The density of states at the Fermi level is 1.5 states/eV/cell. The total magnetic moment comes out at 1.260 μB per formula unit. The value obtained for the distance to the lowest polymorph of the same formula is 65.2 kJ/mol of formula units.


Entry 15:
Material: NbVNO
Method: DFT, PBE+U
State: relaxed

Unit cell a=7.595 b=2.957 c=5.002 alpha=90.00 beta=130.83 gamma=90.00
Space group Cm (No. 8)
Symmetry-distinct sites (fractional):
Nb 0.000 0.000 0.000 (multiplicity 2)
V 0.491 0.000 0.493 (multiplicity 2)
N 0.243 0.500 0.407 (multiplicity 2)
O 0.251 0.000 0.914 (multiplicity 2)

Computed properties:
The density of states at the Fermi level is 1.4 states/eV/cell. The total magnetic moment comes out at 1.075 μB per formula unit. The value obtained for the distance to the lowest polymorph of the same formula is 76.0 kJ/mol of formula units.


Entry 16:
Material: NbWN2O
Method: DFT, PBE+U
State: relaxed

Unit cell a=4.129 b=4.129 c=3.868 alpha=90.00 beta=90.00 gamma=90.00
Space group P4/mmm (No. 123)
Symmetry-distinct sites (fractional):
Nb 0.000 0.000 0.000 (multiplicity 1)
W 0.500 0.500 0.500 (multiplicity 1)
N 0.000 0.500 0.000 (multiplicity 2)
O 0.000 0.000 0.500 (multiplicity 1)

Computed properties:
As for the total energy: -7.796 eV/atom. The density of states at the Fermi level is 0.5 states/eV/cell. The total magnetic moment comes out at 2.913 μB per formula unit.


Entry 17:
Material: NbWN2O
Method: DFT, PBE+U
State: relaxed

Unit cell a=3.998 b=3.998 c=3.858 alpha=90.00 beta=90.00 gamma=90.00
Space group P4/mmm (No. 123)
Symmetry-distinct sites (fractional):
Nb 0.000 0.000 0.000 (multiplicity 1)
W 0.500 0.500 0.500 (multiplicity 1)
N 0.000 0.500 0.500 (multiplicity 2)
O 0.500 0.500 0.000 (multiplicity 1)

Computed properties:
As for the total energy: -7.757 eV/atom. The density of states at the Fermi level is 3.5 states/eV/cell. The total magnetic moment comes out at 2.051 μB per formula unit.


Entry 18:
Material: NbWNO6
Method: DFT, PBE+U
State: relaxed

Unit cell a=12.999 b=7.418 c=7.571 alpha=90.00 beta=125.62 gamma=90.00
Space group Cm (No. 8)
Symmetry-distinct sites (fractional):
Nb 0.000 0.000 0.000 (multiplicity 2)
Nb 0.036 0.000 0.536 (multiplicity 2)
W 0.268 0.250 0.054 (multiplicity 4)
N 0.139 0.500 0.411 (multiplicity 2)
N 0.394 0.000 0.664 (multiplicity 2)
O 0.079 0.000 0.339 (multiplicity 2)
O 0.141 0.186 0.089 (multiplicity 4)
O 0.150 0.187 0.741 (multiplicity 4)
O 0.212 0.500 0.990 (multiplicity 2)
O 0.324 0.000 0.103 (multiplicity 2)
O 0.386 0.313 0.978 (multiplicity 4)
O 0.395 0.314 0.343 (multiplicity 4)
O 0.456 0.500 0.716 (multiplicity 2)

Computed properties:
As for the total energy: -7.295 eV/atom. The density of states at the Fermi level is 48.4 states/eV/cell. The total magnetic moment comes out at 3.952 μB per formula unit.